Record 1
# Rb2GaF5 (GGA-PBE, relaxed)
# ΔE_f (raw) = -2.75 eV per atom
# DFT total energy = -4.537 eV/atom
# N(E_F) = 0.0000 states/eV/atom
# crystal system = tetragonal
data_Rb2GaF5
_chemical_formula_sum 'Rb4 Ga2 F10'
_cell_length_a 6.4386
_cell_length_b 6.4386
_cell_length_c 8.0231
_cell_angle_alpha 90.00
_cell_angle_beta 90.00
_cell_angle_gamma 90.00
_symmetry_space_group_name_H-M 'I 4 m m'
_symmetry_Int_Tables_number 107
_symmetry_space_group_name_Hall 'I 4 -2'
loop_
_atom_site_label
_atom_site_type_symbol
_atom_site_fract_x
_atom_site_fract_y
_atom_site_fract_z
Rb1 Rb 0.0000 0.5000 0.0000
Ga1 Ga 0.0000 0.0000 0.2730
F1 F 0.0000 0.0000 0.4998
F2 F 0.2022 0.2022 0.2225


Record 2
# HoSc2Cu2 (GGA-PBE, relaxed)
# E_form = -0.95 eV/f.u.
# DFT total energy = -5.276 eV/atom
# N(E_F) = 0.8972 states/eV/atom
# crystal system = monoclinic
data_HoSc2Cu2
_chemical_formula_sum 'Ho2 Sc4 Cu4'
_cell_length_a 3.3340
_cell_length_b 4.8494
_cell_length_c 12.4960
_cell_angle_alpha 90.00
_cell_angle_beta 97.65
_cell_angle_gamma 90.00
_symmetry_space_group_name_H-M 'P 1 21/m 1'
_symmetry_Int_Tables_number 11
loop_
_symmetry_equiv_pos_as_xyz
'x,y,z'
'-x,-y,-z'
'-x,y+1/2,-z'
'x,-y+1/2,z'
loop_
_atom_site_label
_atom_site_type_symbol
_atom_site_fract_x
_atom_site_fract_y
_atom_site_fract_z
Ho1 Ho 0.1417 0.2500 0.2841
Sc1 Sc 0.0460 0.7500 0.0925
Sc2 Sc 0.2320 0.7500 0.4637
Cu1 Cu 0.3589 0.2500 0.7175
Cu2 Cu 0.4581 0.7500 0.9160